# 1
First-principles (GGA-PBEsol) data for a relaxed structure of NaBS2, as listed in Alexandria via LeMat-Bulk.

Calculated values
* crystal system: tetragonal
* space group: No. 122
* electronic total energy: -5.042 eV per atom

abc: 5.602 5.602 5.602
angles: 95.73 116.75 116.75
Atoms (fractional coordinates):
Na  0.000  0.000  0.000
Na  0.500  0.750  0.250
B  0.000  0.500  0.500
B  0.500  0.250  0.750
S  0.104  0.229  0.625
S  0.604  0.375  0.479
S  0.896  0.521  0.125
S  0.396  0.875  0.771

# 2
First-principles (GGA-PBEsol) data for a relaxed structure of Na3BS3, as listed in Alexandria via LeMat-Bulk.

Calculated values
* crystal system: monoclinic
* space group: No. 15
* electronic total energy: -4.431 eV per atom

abc: 6.576 6.707 8.286
angles: 66.10 66.62 60.64
Atoms (fractional coordinates):
Na  0.383  0.809  0.996
B  0.923  0.750  0.250
S  0.641  0.750  0.250
Na  0.812  0.309  0.496
S  0.924  0.023  0.249
S  0.359  0.250  0.750
Na  0.500  0.000  0.500
S  0.804  0.523  0.749
Na  0.617  0.191  0.004
S  0.196  0.477  0.251
Na  0.000  0.500  0.000
B  0.077  0.250  0.750
Na  0.188  0.691  0.504
S  0.076  0.977  0.751

# 3
First-principles (GGA-PBEsol) data for a relaxed structure of NaBS2, as listed in Alexandria via LeMat-Bulk.

Calculated values
* crystal system: trigonal
* space group: No. 167
* electronic total energy: -5.063 eV per atom

abc: 7.319 9.020 9.020
angles: 67.03 74.31 105.69
Atoms (fractional coordinates):
S  0.250  0.764  0.764
S  0.750  0.236  0.236
S  0.874  0.248  0.876
S  0.014  0.764  0.472
S  0.486  0.472  0.764
Na  0.713  0.925  0.537
B  0.132  0.882  0.236
S  0.750  0.876  0.876
S  0.250  0.124  0.124
S  0.986  0.236  0.528
B  0.250  0.882  0.882
Na  0.213  0.463  0.075
S  0.626  0.876  0.248
B  0.868  0.118  0.764
S  0.374  0.124  0.752
Na  0.250  0.537  0.537
Na  0.787  0.537  0.925
Na  0.287  0.075  0.463
B  0.750  0.118  0.118
S  0.126  0.752  0.124
Na  0.750  0.463  0.463
B  0.368  0.236  0.882
S  0.514  0.528  0.236
B  0.632  0.764  0.118

# 4
First-principles (GGA-PBEsol) data for a relaxed structure of NaBS2, as listed in Alexandria via LeMat-Bulk.

Calculated values
* crystal system: trigonal
* space group: No. 166
* electronic total energy: -4.894 eV per atom

abc: 4.539 4.539 6.467
angles: 69.46 69.46 60.00
Atoms (fractional coordinates):
Na  0.500  0.500  0.500
B  0.000  0.000  0.000
S  0.906  0.906  0.283
S  0.094  0.094  0.717

| no. | DOS at the Fermi energy (states/eV/atom) |
| --- | --- |
| 1 | 0.000 |
| 2 | 0.000 |
| 3 | 0.000 |
| 4 | 0.000 |